Arrangement one

First-principles (PBE) data for crystalline P2OsCCl at its relaxed geometry, as listed in the Alexandria database.

Calculated values
Total moment   1.63 μB per formula unit
Space-group type   No. 123

Structure (POSCAR):
```
P2OsCCl
1.0
-0.341 4.018 -2.024
-3.829 -1.326 -1.986
-2.637 1.749 3.916
P C Os Cl
2 1 1 1
Cartesian
-1.914 -0.663 -0.993
-0.171 2.009 -1.012
-3.404 2.221 -0.047
0.000 0.000 0.000
-1.319 0.874 1.958
```



Arrangement two

First-principles (PBE) data for crystalline P2OsCCl at its relaxed geometry, as listed in the Alexandria database.

Calculated values
Total moment   0.00 μB per formula unit
Space-group type   No. 123

Structure (POSCAR):
```
P2OsCCl
1.0
3.931 0.000 0.000
0.000 3.931 0.000
0.000 0.000 4.131
P C Os Cl
2 1 1 1
Cartesian
0.000 1.966 0.000
1.966 0.000 0.000
0.000 0.000 0.000
1.966 1.966 2.066
0.000 0.000 2.066
```



Most stable structure: arrangement two



Arrangement one

First-principles (PBE) data for crystalline POsCCl2 at its relaxed geometry, as listed in the Alexandria database.

Calculated values
Total moment   0.18 μB per formula unit
Space-group type   No. 123

Structure (POSCAR):
```
POsCCl2
1.0
4.137 0.000 0.000
0.000 4.137 0.000
0.000 0.000 4.036
P C Os Cl
1 1 1 2
Cartesian
0.000 0.000 2.018
0.000 0.000 0.000
2.068 2.068 2.018
0.000 2.068 0.000
2.068 0.000 0.000
```



Arrangement two

First-principles (PBE) data for crystalline POsCCl2 at its relaxed geometry, as listed in the Alexandria database.

Calculated values
Total moment   1.76 μB per formula unit
Space-group type   No. 123

Structure (POSCAR):
```
POsCCl2
1.0
4.873 0.000 0.000
0.000 4.873 0.000
0.000 0.000 4.501
P C Os Cl
1 1 1 2
Cartesian
0.000 0.000 2.250
2.437 2.437 2.250
0.000 0.000 0.000
0.000 2.437 0.000
2.437 0.000 0.000
```



Most stable structure: arrangement two



Arrangement one

First-principles (PBE) data for crystalline PC2Cl2 at its relaxed geometry, as listed in the Alexandria database.

Calculated values
Total moment   0.00 μB per formula unit
Space-group type   No. 139

Structure (POSCAR):
```
PC2Cl2
1.0
-2.531 1.769 -4.007
-1.088 -4.737 -1.404
-4.227 -1.393 -1.138
P C Cl
1 2 2
Cartesian
0.000 0.000 0.000
-2.359 -1.463 -2.349
-5.487 -2.898 -4.200
-4.284 -0.554 -3.925
-3.562 -3.807 -2.624
```



Arrangement two

First-principles (PBE) data for crystalline PC2Cl2 at its relaxed geometry, as listed in the Alexandria database.

Calculated values
Total moment   0.00 μB per formula unit
Space-group type   No. 127

Structure (POSCAR):
```
PC2Cl2
1.0
5.617 0.000 0.000
0.000 5.617 0.000
0.000 0.000 4.388
P C Cl
2 4 4
Cartesian
0.000 0.000 0.000
2.808 2.808 0.000
1.224 4.032 0.000
4.032 4.393 0.000
4.393 1.585 0.000
1.585 1.224 0.000
1.058 3.866 2.194
3.866 4.559 2.194
4.559 1.751 2.194
1.751 1.058 2.194
```



Most stable structure: arrangement one



Arrangement one

First-principles (PBE) data for crystalline PCCl2 at its relaxed geometry, as listed in the Alexandria database.

Calculated values
Total moment   1.05 μB per formula unit
Space-group type   No. 225

Structure (POSCAR):
```
PCCl2
1.0
0.000 3.161 3.161
3.161 0.000 3.161
3.161 3.161 0.000
P C Cl
1 1 2
Cartesian
3.161 3.161 3.161
0.000 0.000 0.000
1.580 1.580 1.580
4.741 4.741 4.741
```



Arrangement two

First-principles (PBE) data for crystalline PCCl2 at its relaxed geometry, as listed in the Alexandria database.

Calculated values
Total moment   0.00 μB per formula unit
Space-group type   No. 166

Structure (POSCAR):
```
PCCl2
1.0
1.846 0.000 7.913
-0.923 1.598 7.913
-0.923 -1.598 7.913
P C Cl
1 1 2
Cartesian
0.000 0.000 0.000
0.000 0.000 11.869
0.000 0.000 21.331
0.000 0.000 2.408
```



Most stable structure: arrangement two